# PmTlAs PBE relaxed
data_PmTlAs
_cell_length_a 7.102
_cell_length_b 7.102
_cell_length_c 7.102
_cell_angle_alpha 90.00
_cell_angle_beta 90.00
_cell_angle_gamma 90.00
_space_group_name_H-M_alt 'P 21 3'
_space_group_IT_number 198
_space_group_name_Hall 'P 2ac 2ab 3'
loop_
_atom_site_label
_atom_site_type_symbol
_atom_site_fract_x
_atom_site_fract_y
_atom_site_fract_z
Pm1 Pm 0.005 0.495 0.505
Tl1 Tl 0.018 0.518 0.982
As1 As 0.216 0.784 0.284
# DFT total energy: -4.3880 eV/atom
# Formation energy from the elements: -466 meV/atom
# Energy above the lowest structure with this stoichiometry: 0.335 eV/f.u.